Record 1
Here is a geometry-optimized CsKNa2Pb structure from Alexandria. Energies are from PBE.

abc: 6.323 6.323 7.195
angles: 90.00 90.00 90.00
Fractional coordinates of all 5 atoms:
Pb (0.000, 0.000, 0.000)
Cs (0.000, 0.000, 0.500)
K (0.500, 0.500, 0.500)
Na (0.000, 0.500, 0.000)
Na (0.500, 0.000, 0.000)

Computed properties:
Crystal system   tetragonal
ΔE to the lowest computed polymorph   100 meV per atom

***

Record 2
Here is a geometry-optimized CsK2NaPb structure from Alexandria. Energies are from PBE.

abc: 6.963 6.963 6.286
angles: 90.00 90.00 90.00
Fractional coordinates of all 5 atoms:
Pb (0.000, 0.000, 0.000)
Cs (0.500, 0.500, 0.500)
K (0.000, 0.500, 0.000)
K (0.500, 0.000, 0.000)
Na (0.000, 0.000, 0.500)

Computed properties:
Crystal system   tetragonal
ΔE to the lowest computed polymorph   0 meV per atom

***

Record 3
Here is a geometry-optimized CsKNa2Pb structure from Alexandria. Energies are from PBE.

abc: 6.262 6.262 6.839
angles: 90.00 90.00 90.00
Fractional coordinates of all 5 atoms:
Pb (0.000, 0.000, 0.000)
Cs (0.500, 0.500, 0.500)
K (0.000, 0.000, 0.500)
Na (0.000, 0.500, 0.000)
Na (0.500, 0.000, 0.000)

Computed properties:
Crystal system   tetragonal
ΔE to the lowest computed polymorph   0 meV per atom

***

Record 4
Here is a geometry-optimized CsK2NaPb structure from Alexandria. Energies are from PBE.

abc: 6.799 6.799 5.962
angles: 90.00 90.00 90.00
Fractional coordinates of all 5 atoms:
Pb (0.000, 0.000, 0.500)
Cs (0.500, 0.500, 0.500)
K (0.000, 0.500, 0.000)
K (0.500, 0.000, 0.000)
Na (0.000, 0.000, 0.000)

Computed properties:
Crystal system   tetragonal
ΔE to the lowest computed polymorph   99 meV per atom

***

Record 5
Here is a geometry-optimized Cs2KNaPb structure from Alexandria. Energies are from PBE.

abc: 7.573 7.573 6.292
angles: 90.00 90.00 90.00
Last column: magnetic moment on the atom in μB.
Fractional coordinates of all 5 atoms:
Pb (0.000, 0.000, 0.000)  0.06
Cs (0.000, 0.500, 0.000)  0.01
Cs (0.500, 0.000, 0.000)  0.01
K (0.500, 0.500, 0.500)  0.01
Na (0.000, 0.000, 0.500)  0.00

Computed properties:
Crystal system   tetragonal

***

Record 6
Here is a geometry-optimized CsKNaPb structure from Alexandria. Energies are from PBE.

abc: 6.235 6.236 6.236
angles: 120.06 119.99 90.00
Last column: magnetic moment on the atom in μB.
Fractional coordinates of all 4 atoms:
Cs (0.000, 0.000, 0.000)  0.02
K (0.750, 0.250, 0.500)  0.01
Na (0.250, 0.750, 0.500)  0.00
Pb (0.500, 0.500, 0.000)  0.22

Computed properties:
Crystal system   trigonal

***

Record 7
Here is a geometry-optimized CsK2NaPd structure from Alexandria. Energies are from PBE.

abc: 6.453 6.453 6.030
angles: 90.00 90.00 90.00
Fractional coordinates of all 5 atoms:
Cs (0.500, 0.500, 0.500)
Na (0.000, 0.000, 0.500)
K (0.000, 0.500, 0.000)
K (0.500, 0.000, 0.000)
Pd (0.000, 0.000, 0.000)

Computed properties:
Crystal system   tetragonal
ΔE to the lowest computed polymorph   0 meV per atom

***

Record 8
Here is a geometry-optimized Cs2KNaPd structure from Alexandria. Energies are from PBE.

abc: 6.889 6.889 6.439
angles: 90.00 90.00 90.00
Fractional coordinates of all 5 atoms:
Cs (0.000, 0.500, 0.000)
Cs (0.500, 0.000, 0.000)
Na (0.500, 0.500, 0.500)
K (0.000, 0.000, 0.500)
Pd (0.000, 0.000, 0.000)

Computed properties:
Crystal system   tetragonal
ΔE to the lowest computed polymorph   0 meV per atom

***

Record 9
Here is a geometry-optimized Cs2K5NaPd structure from Alexandria. Energies are from PBE.

abc: 9.543 9.543 9.543
angles: 86.14 122.25 122.25
Fractional coordinates of all 9 atoms:
Cs (0.500, 0.251, 0.751)
Cs (0.500, 0.751, 0.251)
K (0.494, 0.245, 0.245)
K (0.506, 0.751, 0.751)
K (0.000, 0.751, 0.245)
K (0.000, 0.245, 0.751)
K (0.000, 0.228, 0.228)
Na (0.000, 0.784, 0.784)
Pd (0.000, 0.994, 0.994)

Computed properties:
Crystal system   tetragonal

***

Record 10
Here is a geometry-optimized CsK2NaPd structure from Alexandria. Energies are from PBE.

abc: 6.418 6.418 6.819
angles: 90.00 90.00 90.00
Fractional coordinates of all 5 atoms:
Cs (0.000, 0.000, 0.500)
Na (0.500, 0.500, 0.500)
K (0.000, 0.500, 0.000)
K (0.500, 0.000, 0.000)
Pd (0.000, 0.000, 0.000)

Computed properties:
Crystal system   tetragonal
ΔE to the lowest computed polymorph   10 meV per atom

***

Record 11
Here is a geometry-optimized Cs2KNaPd structure from Alexandria. Energies are from PBE.

abc: 7.001 7.001 5.902
angles: 90.00 90.00 90.00
Fractional coordinates of all 5 atoms:
Cs (0.000, 0.500, 0.000)
Cs (0.500, 0.000, 0.000)
Na (0.000, 0.000, 0.500)
K (0.500, 0.500, 0.500)
Pd (0.000, 0.000, 0.000)

Computed properties:
Crystal system   tetragonal
ΔE to the lowest computed polymorph   22 meV per atom

***

Record 12
Here is a geometry-optimized Cs2K6NaPd structure from Alexandria. Energies are from PBE.

abc: 9.939 9.938 9.921
angles: 59.88 59.88 89.88
Fractional coordinates of all 10 atoms:
Cs (0.750, 0.250, 0.500)
Cs (0.250, 0.750, 0.500)
K (0.272, 0.272, 0.456)
K (0.728, 0.728, 0.000)
K (0.272, 0.728, 0.000)
K (0.728, 0.272, 0.000)
K (0.272, 0.272, 0.000)
K (0.728, 0.728, 0.544)
Na (0.000, 0.000, 0.000)
Pd (0.500, 0.500, 0.000)

Computed properties:
Crystal system   orthorhombic

***

Record 13
Here is a geometry-optimized Cs2KNaPt structure from Alexandria. Energies are from PBE.

abc: 6.866 6.866 5.850
angles: 90.00 90.00 90.00
Fractional coordinates of all 5 atoms:
Cs (0.000, 0.500, 0.000)
Cs (0.500, 0.000, 0.000)
Na (0.000, 0.000, 0.500)
K (0.500, 0.500, 0.500)
Pt (0.000, 0.000, 0.000)

Computed properties:
Crystal system   tetragonal
ΔE to the lowest computed polymorph   37 meV per atom

***

Record 14
Here is a geometry-optimized Cs2KNaPt structure from Alexandria. Energies are from PBE.

abc: 6.792 6.792 6.353
angles: 90.00 90.00 90.00
Fractional coordinates of all 5 atoms:
Cs (0.000, 0.500, 0.000)
Cs (0.500, 0.000, 0.000)
Na (0.500, 0.500, 0.500)
K (0.000, 0.000, 0.500)
Pt (0.000, 0.000, 0.000)

Computed properties:
Crystal system   tetragonal
ΔE to the lowest computed polymorph   0 meV per atom

***

Record 15
Here is a geometry-optimized CsKRb3Na structure from Alexandria. Energies are from PBE.

abc: 5.194 12.669 15.908
angles: 109.18 90.00 90.00
Fractional coordinates of all 12 atoms:
Cs (0.250, 0.187, 0.285)
Cs (0.750, 0.813, 0.715)
K (0.250, 0.089, 0.618)
K (0.750, 0.911, 0.382)
Rb (0.750, 0.870, 0.052)
Rb (0.250, 0.130, 0.948)
Rb (0.250, 0.612, 0.419)
Rb (0.750, 0.388, 0.581)
Rb (0.750, 0.458, 0.124)
Rb (0.250, 0.542, 0.876)
Na (0.250, 0.736, 0.193)
Na (0.750, 0.264, 0.807)

Computed properties:
Crystal system   monoclinic

***

Record 16
Here is a geometry-optimized Cs4KRb2Na2 structure from Alexandria. Energies are from PBE.

abc: 8.743 10.658 10.133
angles: 119.64 105.46 80.22
Fractional coordinates of all 9 atoms:
Cs (0.565, 0.760, 0.034)
Cs (0.737, 0.646, 0.512)
Cs (0.435, 0.240, 0.966)
Cs (0.263, 0.354, 0.488)
K (0.000, 0.000, 0.000)
Rb (0.191, 0.816, 0.406)
Rb (0.809, 0.184, 0.594)
Na (0.934, 0.416, 0.087)
Na (0.066, 0.584, 0.913)

Computed properties:
Crystal system   triclinic

***

Record 17
Here is a geometry-optimized CsKRbNa2 structure from Alexandria. Energies are from PBE.

abc: 7.360 7.360 7.647
angles: 90.00 90.00 90.00
Fractional coordinates of all 5 atoms:
Cs (0.500, 0.500, 0.500)
Na (0.000, 0.500, 0.000)
Na (0.500, 0.000, 0.000)
K (0.000, 0.000, 0.500)
Rb (0.000, 0.000, 0.000)

Computed properties:
Crystal system   tetragonal
ΔE to the lowest computed polymorph   161 meV per atom

***

Record 18
Here is a geometry-optimized Cs2KRb8Na structure from Alexandria. Energies are from PBE.

abc: 9.272 9.282 15.433
angles: 72.69 72.52 60.03
Fractional coordinates of all 12 atoms:
Cs (0.312, 0.313, 0.063)
Cs (0.688, 0.687, 0.937)
K (0.500, 0.500, 0.500)
Rb (0.814, 0.812, 0.560)
Rb (0.753, 0.251, 0.242)
Rb (0.186, 0.188, 0.440)
Rb (0.247, 0.749, 0.758)
Rb (0.753, 0.758, 0.243)
Rb (0.247, 0.242, 0.757)
Rb (0.246, 0.758, 0.243)
Rb (0.754, 0.242, 0.757)
Na (0.000, 0.000, 0.000)

Computed properties:
Crystal system   monoclinic

***

Record 19
Here is a geometry-optimized CsK2Rb6Na structure from Alexandria. Energies are from PBE.

abc: 10.863 13.109 12.389
angles: 90.00 79.68 90.00
Fractional coordinates of all 20 atoms:
Cs (0.000, 0.500, 0.000)
Cs (0.500, 0.000, 0.500)
K (0.952, 0.894, 0.365)
K (0.548, 0.394, 0.135)
K (0.452, 0.606, 0.865)
K (0.048, 0.106, 0.635)
Rb (0.736, 0.344, 0.748)
Rb (0.843, 0.120, 0.031)
Rb (0.814, 0.270, 0.368)
Rb (0.686, 0.770, 0.132)
Rb (0.657, 0.620, 0.469)
Rb (0.764, 0.844, 0.752)
Rb (0.236, 0.156, 0.248)
Rb (0.343, 0.380, 0.531)
Rb (0.314, 0.230, 0.868)
Rb (0.157, 0.880, 0.969)
Rb (0.186, 0.730, 0.632)
Rb (0.264, 0.656, 0.252)
Na (0.000, 0.500, 0.500)
Na (0.500, 0.000, 0.000)

Computed properties:
Crystal system   monoclinic

***

Record 20
Here is a geometry-optimized CsKRb5Na2 structure from Alexandria. Energies are from PBE.

abc: 11.796 11.796 13.188
angles: 116.57 116.57 90.00
Fractional coordinates of all 18 atoms:
Cs (0.250, 0.750, 0.500)
Cs (0.750, 0.250, 0.500)
K (0.250, 0.250, 0.500)
K (0.750, 0.750, 0.500)
Rb (0.906, 0.406, 0.244)
Rb (0.662, 0.162, 0.756)
Rb (0.094, 0.594, 0.756)
Rb (0.162, 0.094, 0.756)
Rb (0.594, 0.662, 0.756)
Rb (0.838, 0.906, 0.244)
Rb (0.406, 0.338, 0.244)
Rb (0.338, 0.838, 0.244)
Rb (0.500, 0.500, 0.000)
Rb (0.000, 0.000, 0.000)
Na (0.098, 0.402, 0.000)
Na (0.598, 0.098, 0.000)
Na (0.402, 0.902, 0.000)
Na (0.902, 0.598, 0.000)

Computed properties:
Crystal system   tetragonal

***

Number 1: calculated volume 288 Å³/f.u., DFT total energy -1.609 eV/atom, formation energy 0.050 eV per atom. Number 2: calculated volume 305 Å³/f.u., DFT total energy -1.644 eV/atom, formation energy -0.028 eV per atom. Number 3: calculated volume 268 Å³/f.u., DFT total energy -1.710 eV/atom, formation energy -0.050 eV per atom. Number 4: calculated volume 276 Å³/f.u., DFT total energy -1.545 eV/atom, formation energy 0.070 eV per atom. Number 5: calculated volume 361 Å³/f.u., DFT total energy -1.496 eV/atom, formation energy 0.071 eV per atom. Number 6: calculated volume 171 Å³/f.u., DFT total energy -1.776 eV/atom, formation energy -0.031 eV per atom. Number 7: calculated volume 251 Å³/f.u., DFT total energy -1.840 eV/atom, formation energy 0.072 eV per atom. Number 8: calculated volume 306 Å³/f.u., DFT total energy -1.791 eV/atom, formation energy 0.072 eV per atom. Number 9: calculated volume 592 Å³/f.u., DFT total energy -1.472 eV/atom, formation energy 0.051 eV per atom. Number 10: calculated volume 281 Å³/f.u., DFT total energy -1.830 eV/atom, formation energy 0.082 eV per atom. Number 11: calculated volume 289 Å³/f.u., DFT total energy -1.769 eV/atom, formation energy 0.094 eV per atom. Number 12: calculated volume 691 Å³/f.u., DFT total energy -1.435 eV/atom, formation energy 0.046 eV per atom. Number 13: calculated volume 276 Å³/f.u., DFT total energy -1.967 eV/atom, formation energy 0.066 eV per atom. Number 14: calculated volume 293 Å³/f.u., DFT total energy -2.004 eV/atom, formation energy 0.029 eV per atom. Number 15: calculated volume 494 Å³/f.u., DFT total energy -1.010 eV/atom, formation energy 0.018 eV per atom. Number 16: calculated volume 790 Å³/f.u., DFT total energy -0.986 eV/atom, formation energy 0.023 eV per atom. Number 17: calculated volume 414 Å³/f.u., DFT total energy -0.895 eV/atom, formation energy 0.216 eV per atom. Number 18: calculated volume 1080 Å³/f.u., DFT total energy -0.966 eV/atom, formation energy 0.023 eV per atom. Number 19: calculated volume 868 Å³/f.u., DFT total energy -0.974 eV/atom, formation energy 0.043 eV per atom. Number 20: calculated volume 711 Å³/f.u., DFT total energy -1.006 eV/atom, formation energy 0.042 eV per atom.